(1)
Material: Ac14DyY
Method: DFT, PBE-GGA
State: relaxed

As for the density of states at the Fermi level: 27.7 states/eV per cell. For the formation energy, the calculation gives 28 meV per atom.

The structure belongs to space group P4/mmm (No. 123); the cell edges are 7.876, 7.876 and 11.201 Å and the angles 90.00°, 90.00° and 90.00°. Symmetry generates all atoms from Ac at (0.000, 0.000, 0.000), Ac at (0.000, 0.500, 0.000), Ac at (0.000, 0.500, 0.500), Ac at (0.250, 0.250, 0.256), Ac at (0.500, 0.500, 0.000), Dy at (0.000, 0.000, 0.500) and Y at (0.500, 0.500, 0.500).


(2)
Material: AcDy4Y6
Method: DFT, PBE-GGA
State: relaxed

As for the density of states at the Fermi level: 80.7 states/eV per cell. For the formation energy, the calculation gives 132 meV per atom.

The structure belongs to space group Cmcm (No. 63); the cell edges are 5.798, 9.818 and 25.803 Å and the angles 90.00°, 90.00° and 90.00°. Symmetry generates all atoms from Ac at (0.000, 0.182, 0.250), Dy at (0.000, 0.161, 0.541), Dy at (0.000, 0.479, 0.622), Y at (0.000, 0.149, 0.679), Y at (0.000, 0.182, 0.099), Y at (0.000, 0.483, 0.750) and Y at (0.000, 0.500, 0.000).


(3)
Material: AcDyY3
Method: DFT, PBE-GGA
State: relaxed

As for the density of states at the Fermi level: 55.4 states/eV per cell. For the formation energy, the calculation gives 142 meV per atom.

The structure belongs to space group C2/c (No. 15); the cell edges are 9.305, 15.760 and 9.690 Å and the angles 90.00°, 90.16° and 90.00°. Symmetry generates all atoms from Ac at (0.000, 0.002, 0.250), Ac at (0.000, 0.428, 0.750), Dy at (0.188, 0.396, 0.068), Y at (0.001, 0.222, 0.931), Y at (0.183, 0.395, 0.428) and Y at (0.188, 0.203, 0.250).


Q: The highest density of states at the Fermi level belongs to which entry?
A: AcDy4Y6


Q: density of states at the Fermi level of number 1 (Ac14DyY)?
A: 27.7 states/eV per cell


Q: What is the formula in the second record?
A: AcDy4Y6